The following is a PBE with a Hubbard U calculation of crystalline ZrBiMoO6 at its relaxed geometry, from the Alexandria database.

```
ZrBiMoO6
1.0
5.432 0.000 0.000
-2.716 4.704 0.000
0.000 0.000 9.952
Zr Bi Mo O
2 2 2 12
Cartesian
0.000 3.136 2.488
2.716 1.568 7.464
0.000 0.000 0.000
0.000 0.000 4.976
0.000 3.136 7.464
2.716 1.568 2.488
-0.917 1.736 6.352
-1.671 3.042 8.576
0.917 1.736 8.576
-0.754 4.630 6.352
1.962 0.074 1.376
1.045 1.662 3.600
1.671 3.042 6.352
0.754 4.630 8.576
3.470 0.074 3.600
1.799 2.968 1.376
4.387 1.662 1.376
3.633 2.968 3.600
```

* DOS at the Fermi energy: 5.9 states/eV/cell
* M_tot: 2.0 Bohr magnetons per cell
* energy: -67.50 eV/f.u.